[1]
## ZrPd2Au2 (PBE-GGA)

Data for a relaxed ZrPd2Au2 crystal.

a b c (Å): 3.834 3.834 12.703
angles (deg): 90.00 90.00 90.00
Space group I4/mmm (No. 139)
Unique sites:
1 Zr 0.000 0.000 0.000
2 Pd 0.000 0.500 0.250
3 Au 0.000 0.000 0.398

Output
- Total moment: 0.007 μB per formula unit
- Calculated total energy: -52.63 eV/cell
- Excess energy over the best structure of this formula in the dataset: 0.406 eV per atom
- Energy of formation from the pure elements: -0.177 eV per atom



[2]
## KAuSO (PBE-GGA)

Data for a relaxed KAuSO crystal.

a b c (Å): 4.540 6.385 6.504
angles (deg): 90.00 90.00 90.00
Space group Pmc2_1 (No. 26)
Unique sites:
1 K 0.000 0.156 0.000
2 Au 0.500 0.456 0.411
3 S 0.000 0.345 0.477
4 O 0.500 0.311 0.134

Output
- Calculated total energy: -30.54 eV/cell
- Excess energy over the best structure of this formula in the dataset: 0.210 eV per atom



[3]
## CuSn5Os3 (PBE-GGA)

Data for a relaxed CuSn5Os3 crystal.

a b c (Å): 5.4518 5.4518 7.8689
angles (deg): 90.00 90.00 120.00
Space group P6/mmm (No. 191)
Unique sites:
1 Cu 0.0000 0.0000 0.0000
2 Sn 0.0000 0.0000 0.5000
3 Sn 0.3333 0.6667 0.2002
4 Os 0.0000 0.5000 0.5000

Output
- Total moment: 1.474 μB per formula unit
- Calculated total energy: -53.21 eV/cell



[4]
## TaNbPd6 (PBE-GGA)

Data for a relaxed TaNbPd6 crystal.

a b c (Å): 4.568 5.508 4.879
angles (deg): 90.00 90.00 90.00
Space group Pmm2 (No. 25)
Unique sites:
1 Ta 0.000 0.000 0.000
2 Nb 0.500 0.500 0.684
3 Pd 0.000 0.250 0.506
4 Pd 0.000 0.500 0.003
5 Pd 0.500 0.000 0.682
6 Pd 0.500 0.250 0.178

Output
- Total moment: 0.008 μB per formula unit
- Calculated total energy: -56.59 eV/cell
- Energy of formation from the pure elements: -0.448 eV per atom



[5]
## PmAlCu (PBE-GGA)

Data for a relaxed PmAlCu crystal.

a b c (Å): 6.723 6.723 6.723
angles (deg): 90.00 90.00 90.00
Space group F-43m (No. 216)
Unique sites:
1 Pm 0.000 0.000 0.000
2 Al 0.250 0.250 0.750
3 Cu 0.250 0.250 0.250

Output
- Total moment: 0.006 μB per formula unit
- Calculated total energy: -43.80 eV/cell
- Excess energy over the best structure of this formula in the dataset: 0.637 eV per atom



[6]
## Ba2Er10Si12O41 (PBE-GGA)

Data for a relaxed Ba2Er10Si12O41 crystal.

a b c (Å): 5.511 6.804 23.589
angles (deg): 83.56 88.75 73.31
Space group P-1 (No. 2)
Unique sites:
1 Ba 0.231 0.269 0.290
2 Er 0.287 0.041 0.115
3 Er 0.299 0.895 0.467
4 Er 0.313 0.700 0.950
5 Er 0.358 0.429 0.633
6 Er 0.368 0.362 0.785
7 Si 0.059 0.803 0.292
8 Si 0.186 0.557 0.130
9 Si 0.197 0.423 0.449
10 Si 0.222 0.211 0.970
11 Si 0.235 0.960 0.613
12 Si 0.241 0.880 0.804
13 O 0.000 0.500 0.500
14 O 0.013 0.668 0.073
15 O 0.014 0.978 0.236
16 O 0.017 0.523 0.185
17 O 0.018 0.931 0.348
18 O 0.039 0.425 0.391
19 O 0.089 0.158 0.031
20 O 0.106 0.957 0.552
21 O 0.114 0.829 0.865
22 O 0.142 0.332 0.709
23 O 0.353 0.663 0.291
24 O 0.359 0.708 0.143
25 O 0.371 0.340 0.112
26 O 0.371 0.584 0.439
27 O 0.371 0.681 0.771
28 O 0.373 0.736 0.646
29 O 0.379 0.194 0.471
30 O 0.388 0.005 0.944
31 O 0.395 0.366 0.978
32 O 0.426 0.107 0.608
33 O 0.437 0.020 0.808

Output
- Total moment: 0.001 μB per formula unit
- Calculated total energy: -526.69 eV/cell



[7]
## RbSrNb (PBE-GGA)

Data for a relaxed RbSrNb crystal.

a b c (Å): 8.433 8.433 8.433
angles (deg): 90.00 90.00 90.00
Space group F-43m (No. 216)
Unique sites:
1 Rb 0.000 0.000 0.000
2 Sr 0.250 0.250 0.250
3 Nb 0.250 0.250 0.750

Output
- Total moment: 5.256 μB per formula unit
- Calculated total energy: -29.31 eV/cell
- Excess energy over the best structure of this formula in the dataset: 0.171 eV per atom



[8]
## Re2B2Pb (PBE-GGA)

Data for a relaxed Re2B2Pb crystal.

a b c (Å): 3.189 9.556 9.439
angles (deg): 90.00 90.00 90.00
Space group Cmcm (No. 63)
Unique sites:
1 Re 0.000 0.211 0.110
2 B 0.000 0.410 0.520
3 Pb 0.000 0.059 0.750

Output
- Total moment: 0.003 μB per formula unit
- Calculated total energy: -158.89 eV/cell



[9]
## AgOsCl6 (PBE-GGA)

Data for a relaxed AgOsCl6 crystal.

a b c (Å): 9.220 9.220 9.220
angles (deg): 90.00 90.00 90.00
Space group F-43m (No. 216)
Unique sites:
1 Ag 0.000 0.000 0.000
2 Os 0.250 0.250 0.250
3 Cl 0.000 0.000 0.259

Output
- Total moment: 4.614 μB per formula unit
- Calculated total energy: -77.53 eV/cell
- Excess energy over the best structure of this formula in the dataset: 1.128 eV per atom



[10]
## LaGa3Ir (PBE-GGA)

Data for a relaxed LaGa3Ir crystal.

a b c (Å): 4.358 4.358 10.633
angles (deg): 90.00 90.00 90.00
Space group I4mm (No. 107)
Unique sites:
1 La 0.000 0.000 0.000
2 Ga 0.000 0.000 0.406
3 Ga 0.000 0.500 0.253
4 Ir 0.000 0.000 0.636

Output
- Total moment: 0.002 μB per formula unit
- Calculated total energy: -52.47 eV/cell



[11]
## BaTbTe3Au (PBE-GGA)

Data for a relaxed BaTbTe3Au crystal.

a b c (Å): 8.635 4.474 10.817
angles (deg): 90.00 106.50 90.00
Space group P2_1/m (No. 11)
Unique sites:
1 Ba 0.240 0.250 0.292
2 Tb 0.309 0.750 0.838
3 Te 0.068 0.250 0.857
4 Te 0.267 0.750 0.547
5 Te 0.434 0.750 0.139
6 Au 0.092 0.250 0.607

Output
- Total moment: 0.003 μB per formula unit
- Calculated total energy: -53.21 eV/cell



[12]
## OsOF2 (PBE-GGA)

Data for a relaxed OsOF2 crystal.

a b c (Å): 4.854 7.089 5.182
angles (deg): 90.00 98.49 90.00
Space group P2_1 (No. 4)
Unique sites:
1 Os 0.005 0.000 0.184
2 Os 0.468 0.194 0.585
3 O 0.200 0.301 0.744
4 O 0.338 0.938 0.429
5 F 0.169 0.613 0.521
6 F 0.196 0.936 0.898
7 F 0.255 0.242 0.223
8 F 0.325 0.613 0.065

Output
- Total moment: 0.001 μB per formula unit
- Calculated total energy: -98.07 eV/cell
- Excess energy over the best structure of this formula in the dataset: 0.125 eV per atom



[13]
## Hf2Ta2O5 (PBE-GGA)

Data for a relaxed Hf2Ta2O5 crystal.

a b c (Å): 3.391 3.391 9.466
angles (deg): 90.00 90.00 90.00
Space group P4/mmm (No. 123)
Unique sites:
1 Hf 0.000 0.000 0.224
2 Ta 0.500 0.500 0.000
3 Ta 0.500 0.500 0.500
4 O 0.000 0.000 0.000
5 O 0.000 0.500 0.372

Output
- Total moment: 0.140 μB per formula unit
- Calculated total energy: -87.99 eV/cell
- Excess energy over the best structure of this formula in the dataset: 0.000 eV per atom



[14]
## GdHoAsBr2 (PBE-GGA)

Data for a relaxed GdHoAsBr2 crystal.

a b c (Å): 4.0663 4.0663 10.0254
angles (deg): 90.00 90.00 120.00
Space group P3m1 (No. 156)
Unique sites:
1 Gd 0.0000 0.0000 0.0000
2 Ho 0.3333 0.6667 0.3157
3 As 0.6667 0.3333 0.1615
4 Br 0.0000 0.0000 0.4929
5 Br 0.3333 0.6667 0.8190

Output
- Total moment: 0.002 μB per formula unit
- Calculated total energy: -25.72 eV/cell



[15]
## LaGd2Pb7 (PBE-GGA)

Data for a relaxed LaGd2Pb7 crystal.

a b c (Å): 4.774 25.922 4.783
angles (deg): 90.00 90.00 90.00
Space group Cmmm (No. 65)
Unique sites:
1 La 0.000 0.000 0.000
2 Gd 0.000 0.190 0.000
3 Pb 0.000 0.100 0.500
4 Pb 0.000 0.294 0.500
5 Pb 0.000 0.401 0.000
6 Pb 0.000 0.500 0.500

Output
- Total moment: 0.001 μB per formula unit
- Calculated total energy: -88.84 eV/cell



[16]
## NbTc2Te (PBE-GGA)

Data for a relaxed NbTc2Te crystal.

a b c (Å): 6.475 6.475 6.475
angles (deg): 90.00 90.00 90.00
Space group F-43m (No. 216)
Unique sites:
1 Nb 0.000 0.000 0.000
2 Tc 0.000 0.000 0.500
3 Tc 0.250 0.250 0.750
4 Te 0.250 0.250 0.250

Output
- Total moment: 1.717 μB per formula unit
- Calculated total energy: -130.15 eV/cell



[17]
## Pr3Co2Cu2Si4 (PBE-GGA)

Data for a relaxed Pr3Co2Cu2Si4 crystal.

a b c (Å): 4.097 4.107 23.802
angles (deg): 90.00 90.00 90.00
Space group Immm (No. 71)
Unique sites:
1 Pr 0.000 0.000 0.000
2 Pr 0.000 0.500 0.151
3 Co 0.000 0.000 0.249
4 Cu 0.000 0.500 0.401
5 Si 0.000 0.000 0.449
6 Si 0.000 0.500 0.297

Output
- Total moment: 0.681 μB per formula unit
- Calculated total energy: -129.72 eV/cell



[18]
## TmTcB (PBE-GGA)

Data for a relaxed TmTcB crystal.

a b c (Å): 6.033 6.033 6.033
angles (deg): 90.00 90.00 90.00
Space group F-43m (No. 216)
Unique sites:
1 Tm 0.000 0.000 0.000
2 Tc 0.250 0.250 0.250
3 B 0.250 0.250 0.750

Output
- Total moment: 0.297 μB per formula unit
- Calculated total energy: -66.90 eV/cell
- Excess energy over the best structure of this formula in the dataset: 1.535 eV per atom



[19]
## Nb2NiB (PBE-GGA)

Data for a relaxed Nb2NiB crystal.

a b c (Å): 3.1858 3.1858 12.8588
angles (deg): 90.00 90.00 120.00
Space group P6_3/mmc (No. 194)
Unique sites:
1 Nb 0.3333 0.6667 0.1024
2 Ni 0.3333 0.6667 0.7500
3 B 0.0000 0.0000 0.0000

Output
- Total moment: 0.003 μB per formula unit
- Calculated total energy: -66.50 eV/cell



[20]
## HgAuO3 (PBE-GGA)

Data for a relaxed HgAuO3 crystal.

a b c (Å): 3.983 3.983 4.261
angles (deg): 90.00 90.00 90.00
Space group P4mm (No. 99)
Unique sites:
1 Hg 0.000 0.000 0.000
2 Au 0.500 0.500 0.563
3 O 0.000 0.500 0.655
4 O 0.500 0.500 0.077

Output
- Calculated total energy: -16.89 eV/cell



[21]
## HfUGe (PBE-GGA)

Data for a relaxed HfUGe crystal.

a b c (Å): 6.597 6.597 6.597
angles (deg): 90.00 90.00 90.00
Space group F-43m (No. 216)
Unique sites:
1 Hf 0.000 0.000 0.000
2 U 0.000 0.000 0.500
3 Ge 0.250 0.250 0.250

Output
- Total moment: 3.380 μB per formula unit
- Calculated total energy: -100.48 eV/cell



[22]
## YCuPb2 (PBE-GGA)

Data for a relaxed YCuPb2 crystal.

a b c (Å): 7.479 7.479 7.479
angles (deg): 90.00 90.00 90.00
Space group F-43m (No. 216)
Unique sites:
1 Y 0.000 0.000 0.000
2 Cu 0.250 0.250 0.750
3 Pb 0.000 0.000 0.500
4 Pb 0.250 0.250 0.250

Output
- Total moment: 0.001 μB per formula unit
- Calculated total energy: -70.17 eV/cell



[23]
## AgSbClO2 (PBE-GGA)

Data for a relaxed AgSbClO2 crystal.

a b c (Å): 6.114 4.065 7.437
angles (deg): 90.00 104.24 90.00
Space group P2_1/m (No. 11)
Unique sites:
1 Ag 0.213 0.250 0.458
2 Sb 0.167 0.250 0.904
3 Cl 0.483 0.750 0.708
4 O 0.026 0.750 0.354
5 O 0.075 0.750 0.944

Output
- Calculated total energy: -44.88 eV/cell